Compound: HoZn
Source: OQMD
Functional: PBE
Structure: relaxed

E_tot	-0.1173	hartree per atom
formation energy	-0.271	eV per atom
magnetization	0.00	μB/f.u.

Unit cell a=16.9060 b=6.7590 c=4.6739 alpha=90.00 beta=90.00 gamma=89.90
Positions (direct):
Ho1 0.9341 0.0380 0.0000
Ho2 0.5895 0.3415 0.0000
Ho3 0.0895 0.4086 0.0000
Ho4 0.4342 0.7123 0.0000
Ho5 0.6385 0.8276 0.0000
Ho6 0.1383 0.9222 0.0000
Ho7 0.5103 0.0377 0.5000
Ho8 0.8549 0.3414 0.5000
Ho9 0.3550 0.4086 0.5000
Ho10 0.0102 0.7121 0.5000
Ho11 0.8061 0.8278 0.5000
Ho12 0.3060 0.9223 0.5000
Zn1 0.7641 0.1314 0.0000
Zn2 0.4131 0.1630 0.0000
Zn3 0.2627 0.2269 0.0000
Zn4 0.7628 0.5227 0.0000
Zn5 0.9130 0.5871 0.0000
Zn6 0.2642 0.6185 0.0000
Zn7 0.6803 0.1315 0.5000
Zn8 0.0313 0.1629 0.5000
Zn9 0.1816 0.2273 0.5000
Zn10 0.6818 0.5231 0.5000
Zn11 0.5314 0.5870 0.5000
Zn12 0.1803 0.6187 0.5000

=====

Compound: HoZn2
Source: OQMD
Functional: PBE
Structure: relaxed

E_tot	-0.0907	hartree per atom
formation energy	-0.100	eV per atom
magnetization	0.00	μB/f.u.

Unit cell a=5.0157 b=10.0506 c=4.7313 alpha=90.00 beta=90.00 gamma=90.00
Positions (direct):
Ho1 0.0528 0.6668 0.0000
Ho2 0.0528 0.9999 0.0000
Ho3 0.7805 0.1668 0.5000
Ho4 0.7805 0.4999 0.5000
Zn1 0.4671 0.2029 0.0000
Zn2 0.9828 0.3333 0.0000
Zn3 0.4671 0.4637 0.0000
Zn4 0.5572 0.8333 0.0000
Zn5 0.2761 0.3333 0.5000
Zn6 0.3662 0.7029 0.5000
Zn7 0.8505 0.8333 0.5000
Zn8 0.3662 0.9637 0.5000

=====

Compound: Ho3Zn4
Source: OQMD
Functional: PBE
Structure: relaxed

E_tot	-0.1059	hartree per atom
formation energy	-0.198	eV per atom
magnetization	0.04	μB/f.u.

Unit cell a=8.6454 b=8.6452 c=4.6097 alpha=90.00 beta=90.00 gamma=60.00
Positions (direct):
Ho1 0.1049 0.2894 0.0000
Ho2 0.3200 0.5334 0.0000
Ho3 0.8609 0.7486 0.0000
Ho4 0.4189 0.0915 0.5000
Ho5 0.6629 0.6324 0.5000
Ho6 0.2038 0.8475 0.5000
Zn1 0.9698 0.0198 0.0000
Zn2 0.5911 0.1532 0.0000
Zn3 0.7247 0.3985 0.0000
Zn4 0.4286 0.8571 0.0000
Zn5 0.9327 0.2278 0.5000
Zn6 0.5539 0.3612 0.5000
Zn7 0.0952 0.5238 0.5000
Zn8 0.7992 0.9824 0.5000

=====

Compound: HoZn
Source: OQMD
Functional: PBE
Structure: relaxed

E_tot	-0.1045	hartree per atom
formation energy	0.077	eV per atom
magnetization	0.07	μB/f.u.

Unit cell a=6.4245 b=6.4245 c=5.2874 alpha=90.00 beta=90.00 gamma=120.00
Site moments in Bohr magnetons follow the coordinates.
Positions (direct):
Ho1 0.0000 0.0000 0.0000  0.08
Ho2 0.8301 0.1699 0.5000  0.02
Ho3 0.3398 0.1699 0.5000  0.02
Ho4 0.8301 0.6602 0.5000  0.02
Zn1 0.5184 0.0367 0.0000  0.01
Zn2 0.9633 0.4816 0.0000  0.01
Zn3 0.5184 0.4816 0.0000  0.01
Zn4 0.3334 0.6666 0.5000  0.00

=====

Compound: HoZn
Source: OQMD
Functional: PBE
Structure: relaxed

E_tot	-0.1156	hartree per atom
formation energy	-0.226	eV per atom
magnetization	0.00	μB/f.u.

Unit cell a=4.8788 b=9.6689 c=4.8503 alpha=90.00 beta=90.00 gamma=75.39
Positions (direct):
Ho1 0.4961 0.1746 0.0000
Ho2 0.8707 0.4254 0.0000
Ho3 0.6763 0.8000 0.0000
Ho4 0.0120 0.1481 0.5000
Ho5 0.3602 0.4519 0.5000
Zn1 0.2611 0.6318 0.0000
Zn2 0.0929 0.9682 0.0000
Zn3 0.7730 0.6317 0.5000
Zn4 0.1863 0.8000 0.5000
Zn5 0.6047 0.9683 0.5000

=====

Compound: HoZn
Source: OQMD
Functional: PBE
Structure: relaxed

E_tot	-0.1109	hartree per atom
formation energy	-0.097	eV per atom
magnetization	0.00	μB/f.u.

Unit cell a=4.9767 b=7.9928 c=4.6021 alpha=90.00 beta=90.00 gamma=90.00
Positions (direct):
Ho1 0.8960 0.0000 0.0000
Ho2 0.3933 0.0000 0.5000
Ho3 0.8799 0.2974 0.5000
Ho4 0.8799 0.7026 0.5000
Zn1 0.4197 0.2536 0.0000
Zn2 0.0685 0.5000 0.0000
Zn3 0.4197 0.7464 0.0000
Zn4 0.3764 0.5000 0.5000

=====

Compound: HoZn
Source: OQMD
Functional: PBE
Structure: relaxed

E_tot	-0.0843	hartree per atom
formation energy	0.628	eV per atom
magnetization	0.01	μB/f.u.

Unit cell a=4.5472 b=4.5472 c=4.5472 alpha=60.00 beta=60.00 gamma=60.00
Positions (direct):
Ho1 0.0000 0.0000 0.0000
Zn1 0.2500 0.2500 0.2500

=====

Compound: HoZn
Source: OQMD
Functional: PBE
Structure: relaxed

E_tot	-0.1093	hartree per atom
formation energy	-0.054	eV per atom
magnetization	0.00	μB/f.u.

Unit cell a=3.4694 b=3.4694 c=4.6056 alpha=90.00 beta=90.00 gamma=120.00
Positions (direct):
Ho1 0.0000 0.0000 0.0000
Zn1 0.6667 0.3333 0.5000

=====

Compound: HoZn
Source: OQMD
Functional: PBE
Structure: relaxed

E_tot	-0.1150	hartree per atom
formation energy	-0.209	eV per atom
magnetization	0.00	μB/f.u.

Unit cell a=5.7104 b=10.9257 c=4.4220 alpha=90.00 beta=90.00 gamma=90.00
Positions (direct):
Ho1 0.5069 0.2397 0.0000
Ho2 0.0069 0.9270 0.0000
Ho3 0.9872 0.1754 0.5000
Ho4 0.7757 0.4832 0.5000
Ho5 0.2757 0.6834 0.5000
Ho6 0.4872 0.9912 0.5000
Zn1 0.0261 0.3715 0.0000
Zn2 0.4098 0.5183 0.0000
Zn3 0.9098 0.6484 0.0000
Zn4 0.5261 0.7952 0.0000
Zn5 0.2943 0.3939 0.5000
Zn6 0.7943 0.7728 0.5000

=====

Compound: HoZn5
Source: OQMD
Functional: PBE
Structure: relaxed

E_tot	-0.0768	hartree per atom
formation energy	-0.274	eV per atom
magnetization	0.00	μB/f.u.

Unit cell a=8.8582 b=8.8582 c=9.0067 alpha=90.00 beta=90.00 gamma=120.00
Positions (direct):
Ho1 0.1900 0.3799 0.2500
Ho2 0.1900 0.8100 0.2500
Ho3 0.6201 0.8100 0.2500
Ho4 0.3799 0.1900 0.7500
Ho5 0.8100 0.1900 0.7500
Ho6 0.8100 0.6201 0.7500
Zn1 0.0000 0.0000 0.0000
Zn2 0.5000 0.0000 0.0000
Zn3 0.0000 0.5000 0.0000
Zn4 0.5000 0.5000 0.0000
Zn5 0.3333 0.6667 0.0161
Zn6 0.3200 0.1600 0.0936
Zn7 0.8400 0.1600 0.0936
Zn8 0.8400 0.6800 0.0936
Zn9 0.5678 0.1356 0.2500
Zn10 0.5678 0.4322 0.2500
Zn11 0.8644 0.4322 0.2500
Zn12 0.8400 0.6800 0.4064
Zn13 0.3200 0.1600 0.4064
Zn14 0.8400 0.1600 0.4064
Zn15 0.3333 0.6667 0.4839
Zn16 0.0000 0.0000 0.5000
Zn17 0.5000 0.0000 0.5000
Zn18 0.0000 0.5000 0.5000
Zn19 0.5000 0.5000 0.5000
Zn20 0.6667 0.3333 0.5161
Zn21 0.1600 0.8400 0.5936
Zn22 0.6800 0.8400 0.5936
Zn23 0.1600 0.3200 0.5936
Zn24 0.1356 0.5678 0.7500
Zn25 0.4322 0.5678 0.7500
Zn26 0.4322 0.8644 0.7500
Zn27 0.1600 0.3200 0.9064
Zn28 0.1600 0.8400 0.9064
Zn29 0.6800 0.8400 0.9064
Zn30 0.6667 0.3333 0.9839

=====

Compound: HoZn2
Source: OQMD
Functional: PBE
Structure: relaxed

E_tot	-0.1015	hartree per atom
formation energy	-0.394	eV per atom
magnetization	0.00	μB/f.u.

Unit cell a=5.6140 b=5.6140 c=5.6140 alpha=133.28 beta=102.30 gamma=95.82
Positions (direct):
Ho1 0.4697 0.4697 0.0000
Ho2 0.0304 0.5304 0.5000
Zn1 0.0404 0.8341 0.2063
Zn2 0.4596 0.1658 0.2938
Zn3 0.8721 0.1658 0.7062
Zn4 0.6279 0.8341 0.7937

=====

Compound: Ho6Zn23
Source: OQMD
Functional: PBE
Structure: relaxed

E_tot	-0.0830	hartree per atom
formation energy	-0.308	eV per atom
magnetization	0.00	μB/f.u.

Unit cell a=8.9106 b=8.9106 c=8.9106 alpha=120.00 beta=90.00 gamma=120.00
Positions (direct):
Ho1 0.2948 0.0000 0.2948
Ho2 0.7052 0.0000 0.2948
Ho3 0.2948 0.5895 0.2948
Ho4 0.7052 0.0000 0.7052
Ho5 0.2948 0.0000 0.7052
Ho6 0.7052 0.4105 0.7052
Zn1 0.0000 0.0000 0.0000
Zn2 0.5000 0.0000 0.0000
Zn3 0.0000 0.5000 0.0000
Zn4 0.5000 0.5000 0.0000
Zn5 0.6708 0.3417 0.0125
Zn6 0.8776 0.7553 0.1224
Zn7 0.3671 0.2447 0.1224
Zn8 0.8776 0.2447 0.1224
Zn9 0.6708 0.3417 0.3292
Zn10 0.6708 0.6583 0.3292
Zn11 0.9875 0.6583 0.3292
Zn12 0.1224 0.2447 0.3671
Zn13 0.0000 0.0000 0.5000
Zn14 0.0000 0.5000 0.5000
Zn15 0.5000 0.5000 0.5000
Zn16 0.8776 0.7553 0.6329
Zn17 0.0125 0.3417 0.6708
Zn18 0.3292 0.3417 0.6708
Zn19 0.3292 0.6583 0.6708
Zn20 0.1224 0.2447 0.8776
Zn21 0.1224 0.7553 0.8776
Zn22 0.6329 0.7553 0.8776
Zn23 0.3292 0.6583 0.9875

=====

Compound: HoZn2
Source: OQMD
Functional: PBE
Structure: relaxed

E_tot	-0.0958	hartree per atom
formation energy	-0.239	eV per atom
magnetization	0.00	μB/f.u.

Unit cell a=13.5557 b=3.5783 c=4.7361 alpha=90.00 beta=90.00 gamma=90.00
Positions (direct):
Ho1 0.6344 0.0000 0.0000
Ho2 0.1344 0.5000 0.0000
Ho3 0.8101 0.0000 0.5000
Ho4 0.3101 0.5000 0.5000
Zn1 0.3247 0.0000 0.0000
Zn2 0.9621 0.0000 0.0000
Zn3 0.4621 0.5000 0.0000
Zn4 0.8248 0.5000 0.0000
Zn5 0.1197 0.0000 0.5000
Zn6 0.4824 0.0000 0.5000
Zn7 0.6197 0.5000 0.5000
Zn8 0.9823 0.5000 0.5000

=====

Compound: HoZn2
Source: OQMD
Functional: PBE
Structure: relaxed

E_tot	-0.0957	hartree per atom
formation energy	-0.235	eV per atom
magnetization	0.00	μB/f.u.

Unit cell a=13.1109 b=8.1506 c=4.6188 alpha=90.00 beta=90.00 gamma=72.56
Positions (direct):
Ho1 0.3803 0.2828 0.0000
Ho2 0.7112 0.3748 0.0000
Ho3 0.8250 0.7238 0.0000
Ho4 0.0248 0.9349 0.0000
Ho5 0.8142 0.0783 0.5000
Ho6 0.1696 0.4260 0.5000
Ho7 0.3694 0.6373 0.5000
Ho8 0.4832 0.9867 0.5000
Zn1 0.6312 0.0711 0.0000
Zn2 0.1571 0.2031 0.0000
Zn3 0.9430 0.3231 0.0000
Zn4 0.4900 0.5505 0.0000
Zn5 0.0474 0.5614 0.0000
Zn6 0.2329 0.6375 0.0000
Zn7 0.5851 0.7788 0.0000
Zn8 0.3402 0.9048 0.0000
Zn9 0.2516 0.0377 0.5000
Zn10 0.0376 0.1579 0.5000
Zn11 0.5635 0.2902 0.5000
Zn12 0.8542 0.4562 0.5000
Zn13 0.6090 0.5828 0.5000
Zn14 0.9614 0.7234 0.5000
Zn15 0.1470 0.7995 0.5000
Zn16 0.7044 0.8105 0.5000

=====

Compound: HoZn
Source: OQMD
Functional: PBE
Structure: relaxed

E_tot	-0.1092	hartree per atom
formation energy	-0.050	eV per atom
magnetization	0.00	μB/f.u.

Unit cell a=4.1449 b=4.1449 c=4.1449 alpha=60.00 beta=60.00 gamma=60.00
Positions (direct):
Ho1 0.0000 0.0000 0.0000
Zn1 0.5000 0.5000 0.5000

=====

Compound: HoZn
Source: OQMD
Functional: PBE
Structure: relaxed

E_tot	-0.1201	hartree per atom
formation energy	-0.349	eV per atom
magnetization	0.10	μB/f.u.

Unit cell a=3.5447 b=3.5447 c=3.5447 alpha=90.00 beta=90.00 gamma=90.00
Site moments in Bohr magnetons follow the coordinates.
Positions (direct):
Ho1 0.0000 0.0000 0.0000  0.07
Zn1 0.5000 0.5000 0.5000  0.01

=====

Compound: HoZn
Source: OQMD
Functional: PBE
Structure: relaxed

E_tot	-0.1125	hartree per atom
formation energy	-0.139	eV per atom
magnetization	0.26	μB/f.u.

Unit cell a=5.3413 b=6.5176 c=5.3381 alpha=90.00 beta=90.00 gamma=90.00
Site moments in Bohr magnetons follow the coordinates.
Positions (direct):
Ho1 0.9222 0.4605 0.0000  0.20
Ho2 0.4222 0.7895 0.0000  0.20
Ho3 0.4111 0.4605 0.5000  0.20
Ho4 0.9111 0.7895 0.5000  0.20
Zn1 0.9252 0.0023 0.0000  0.00
Zn2 0.4252 0.2477 0.0000  0.00
Zn3 0.4081 0.0023 0.5000  0.00
Zn4 0.9081 0.2477 0.5000  0.00

=====

Compound: HoZn2
Source: OQMD
Functional: PBE
Structure: relaxed

E_tot	-0.0949	hartree per atom
formation energy	-0.213	eV per atom
magnetization	0.03	μB/f.u.

Unit cell a=4.8868 b=10.4518 c=4.5155 alpha=90.00 beta=90.00 gamma=90.00
Positions (direct):
Ho1 0.9316 0.0000 0.0000
Ho2 0.4316 0.5000 0.0000
Ho3 0.4017 0.0000 0.5000
Ho4 0.9017 0.5000 0.5000
Zn1 0.4931 0.1918 0.0000
Zn2 0.9931 0.3082 0.0000
Zn3 0.9931 0.6918 0.0000
Zn4 0.4931 0.8082 0.0000
Zn5 0.8402 0.1918 0.5000
Zn6 0.3402 0.3082 0.5000
Zn7 0.3402 0.6918 0.5000
Zn8 0.8402 0.8082 0.5000

=====

Compound: Ho3Zr4
Source: OQMD
Functional: PBE
Structure: relaxed

E_tot	-0.2496	hartree per atom
formation energy	0.053	eV per atom
magnetization	0.04	μB/f.u.

Unit cell a=8.9001 b=8.9001 c=5.3476 alpha=90.00 beta=90.00 gamma=60.00
Positions (direct):
Ho1 0.1328 0.2846 0.0000
Ho2 0.2969 0.5614 0.0000
Ho3 0.8560 0.7254 0.0000
Ho4 0.3910 0.0964 0.5000
Ho5 0.6678 0.6555 0.5000
Ho6 0.2270 0.8195 0.5000
Zr1 0.9884 0.0144 0.0000
Zr2 0.5859 0.1400 0.0000
Zr3 0.7114 0.4170 0.0000
Zr4 0.4286 0.8571 0.0000
Zr5 0.9379 0.2409 0.5000
Zr6 0.5354 0.3665 0.5000
Zr7 0.0952 0.5238 0.5000
Zr8 0.8123 0.9640 0.5000

=====

Compound: Ho3Zr4
Source: OQMD
Functional: PBE
Structure: relaxed

E_tot	-0.2498	hartree per atom
formation energy	0.049	eV per atom
magnetization	0.00	μB/f.u.

Unit cell a=8.9347 b=8.9356 c=5.3069 alpha=90.00 beta=90.00 gamma=60.00
Positions (direct):
Ho1 0.7296 0.4197 0.0000
Ho2 0.2769 0.5649 0.0000
Ho3 0.4221 0.8726 0.0000
Ho4 0.5303 0.3655 0.5000
Ho5 0.6755 0.6732 0.5000
Ho6 0.2228 0.8183 0.5000
Zr1 0.9809 0.0092 0.0000
Zr2 0.5812 0.1238 0.0000
Zr3 0.1429 0.2857 0.0000
Zr4 0.8663 0.7241 0.0000
Zr5 0.3711 0.1143 0.5000
Zr6 0.9714 0.2289 0.5000
Zr7 0.0860 0.5140 0.5000
Zr8 0.8095 0.9524 0.5000